PrSm2Mg after structural relaxation. Source: the Alexandria database, functional GGA-PBE.

CIF file:
```
data_PrSm2Mg
_chemical_formula_sum 'Pr1 Sm2 Mg1'
_cell_length_a 5.006
_cell_length_b 5.006
_cell_length_c 5.052
_cell_angle_alpha 90.00
_cell_angle_beta 90.00
_cell_angle_gamma 90.00
_space_group_name_H-M_alt 'P 4/m m m'
_space_group_IT_number 123
_space_group_name_Hall '-P 4 2'
loop_
_atom_site_label
_atom_site_type_symbol
_atom_site_fract_x
_atom_site_fract_y
_atom_site_fract_z
_atom_site_occupancy
Pr1 Pr 0.000 0.000 0.000 1
Sm1 Sm 0.000 0.500 0.500 1
Mg1 Mg 0.500 0.500 0.000 1
```

Properties
energy of formation from the pure elements: 0.4 kJ per mole of atoms
polymorph energy (0 for the lowest one): 0.0409 eV/atom
theoretical density: 6.11 g/cm³